[1]
TaAg2Hg: optimized geometry, PBEsol.

Results
- calculated density (g/cm3) = 14.02
- density of states at the Fermi level (states/eV per cell) = 1.919
- uncorrected energy (eV per atom) = -4.612
- energy of formation (eV/atom) = 0.324
- calculated volume (Å³/atom) = 17.7

Lattice parameters (Å, degrees): 4.9368 4.9368 5.3608 97.48 97.48 33.13
Closest atoms and distances in Å follow each position.
Atoms (fractional coordinates):
Ta1 0.0000 0.0000 0.0000  2 Ta 2.82, 7 Ag 2.86-3.08, 3 Hg 2.89-2.92
Ag1 0.2503 0.2503 0.7565  5 Ag 2.82-2.91, 3 Ta 2.86-2.90, 4 Hg 3.01-3.04
Ag2 0.4996 0.4996 0.5119  5 Ag 2.82-2.91, 3 Hg 2.89-2.94, 4 Ta 2.97-3.08
Hg1 0.7490 0.7490 0.2534  2 Hg 2.82, 3 Ta 2.89-2.92, 7 Ag 2.89-3.04

[2]
TcAgHg: optimized geometry, PBEsol.

Results
- calculated density (g/cm3) = 13.35
- density of states at the Fermi level (states/eV per cell) = 3.034
- uncorrected energy (eV per atom) = -4.364
- energy of formation (eV/atom) = 0.684
- calculated volume (Å³/atom) = 16.9

Lattice parameters (Å, degrees): 4.6714 4.6714 2.6753 90.00 90.00 120.00
Closest atoms and distances in Å follow each position.
Atoms (fractional coordinates):
Tc1 0.0000 0.0000 0.0000  2 Tc 2.68, 3 Hg 2.90, 3 Ag 2.91
Ag1 0.3333 0.6667 0.5935  2 Ag 2.68, 3 Hg 2.75, 3 Tc 2.91
Hg1 0.6667 0.3333 0.4003  2 Hg 2.68, 3 Ag 2.75, 3 Tc 2.90

[3]
Ti2TcAgHg: optimized geometry, PBEsol.

Results
- calculated density (g/cm3) = 7.06
- density of states at the Fermi level (states/eV per cell) = 9.605
- uncorrected energy (eV per atom) = -4.666
- energy of formation (eV/atom) = 1.691
- calculated volume (Å³/atom) = 23.6

Lattice parameters (Å, degrees): 4.8906 4.8906 4.9372 90.00 90.00 90.00
Closest atoms and distances in Å follow each position.
Atoms (fractional coordinates):
Ti1 0.0000 0.5000 0.0000  2 Hg 2.45
Ti2 0.5000 0.0000 0.0000  2 Hg 2.45
Tc1 0.0000 0.0000 0.5000  2 Hg 2.47
Ag1 0.5000 0.5000 0.5000  4 Tc 3.46, 8 Ti 3.47
Hg1 0.0000 0.0000 0.0000  4 Ti 2.45, 2 Tc 2.47

[4]
AgHgTe: optimized geometry, PBEsol.

Results
- calculated density (g/cm3) = 10.47
- raw formation energy (eV per atom) = 0.138
- density of states at the Fermi level (states/eV per cell) = 1.246
- uncorrected energy (eV per atom) = -2.330
- calculated volume (Å³/atom) = 23.1

Lattice parameters (Å, degrees): 7.2332 7.2332 7.2332 154.67 154.67 36.12
Closest atoms and distances in Å follow each position.
Atoms (fractional coordinates):
Ag1 0.0000 0.0000 0.0000  4 Hg 2.96, 4 Te 3.10, 4 Ag 3.17
Hg1 0.6410 0.6410 0.0000  4 Ag 2.96, 4 Hg 3.17
Te1 0.3444 0.3444 0.0000  4 Ag 3.10, 4 Te 3.17

[5]
AgHgTe3: optimized geometry, PBEsol.

Results
- calculated density (g/cm3) = 6.82
- raw formation energy (eV per atom) = 0.815
- density of states at the Fermi level (states/eV per cell) = 5.848
- uncorrected energy (eV per atom) = -2.076
- calculated volume (Å³/atom) = 33.7

Lattice parameters (Å, degrees): 5.5219 5.5219 5.5219 90.00 90.00 90.00
Closest atoms and distances in Å follow each position.
Atoms (fractional coordinates):
Ag1 0.0000 0.0000 0.0000  12 Te 3.90
Hg1 0.5000 0.5000 0.5000  6 Te 2.76
Te1 0.0000 0.5000 0.5000  2 Hg 2.76
Te2 0.5000 0.0000 0.5000  2 Hg 2.76
Te3 0.5000 0.5000 0.0000  2 Hg 2.76

[6]
AgHg2Te: optimized geometry, PBEsol.

Results
- calculated density (g/cm3) = 10.71
- raw formation energy (eV per atom) = 0.035
- density of states at the Fermi level (states/eV per cell) = 1.779
- uncorrected energy (eV per atom) = -1.958
- calculated volume (Å³/atom) = 24.7

Lattice parameters (Å, degrees): 4.1156 4.1156 5.8253 90.00 90.00 90.00
Closest atoms and distances in Å follow each position.
Atoms (fractional coordinates):
Ag1 0.0000 0.0000 0.0000  4 Te 2.91, 2 Hg 2.91
Hg1 0.0000 0.0000 0.5000  4 Hg 2.91, 2 Ag 2.91
Hg2 0.5000 0.5000 0.5000  4 Hg 2.91, 2 Te 2.91
Te1 0.5000 0.5000 0.0000  4 Ag 2.91, 2 Hg 2.91

[7]
AgHg2Te: optimized geometry, PBEsol.

Results
- calculated density (g/cm3) = 10.93
- raw formation energy (eV per atom) = 0.112
- density of states at the Fermi level (states/eV per cell) = 2.985
- uncorrected energy (eV per atom) = -1.881
- calculated volume (Å³/atom) = 24.2

Lattice parameters (Å, degrees): 6.5759 6.5759 6.5759 144.22 144.22 51.50
Closest atoms and distances in Å follow each position.
Atoms (fractional coordinates):
Ag1 0.0000 0.0000 0.0000  4 Te 2.86
Hg1 0.2500 0.7500 0.5000  4 Hg 2.86
Hg2 0.7500 0.2500 0.5000  4 Hg 2.86
Te1 0.5000 0.5000 0.0000  4 Ag 2.86

[8]
Ag2HgTe: optimized geometry, PBEsol.

Results
- calculated density (g/cm3) = 10.55
- raw formation energy (eV per atom) = 0.058
- density of states at the Fermi level (states/eV per cell) = 1.000
- uncorrected energy (eV per atom) = -2.621
- calculated volume (Å³/atom) = 21.4

Lattice parameters (Å, degrees): 3.8767 3.8767 5.6938 90.00 90.00 90.00
Closest atoms and distances in Å follow each position.
Atoms (fractional coordinates):
Ag1 0.0000 0.0000 0.0000  2 Hg 2.76-2.94, 4 Te 2.97
Ag2 0.5000 0.5000 0.2828  2 Te 2.75-2.95, 4 Hg 2.97
Hg1 0.0000 0.0000 0.4841  6 Ag 2.76-2.97
Te1 0.5000 0.5000 0.8000  6 Ag 2.75-2.97

[9]
Ag2HgTe: optimized geometry, PBEsol.

Results
- calculated density (g/cm3) = 10.89
- raw formation energy (eV per atom) = 0.097
- density of states at the Fermi level (states/eV per cell) = 0.964
- uncorrected energy (eV per atom) = -2.582
- calculated volume (Å³/atom) = 20.7

Lattice parameters (Å, degrees): 5.4814 5.4814 5.4814 134.34 134.34 66.56
Closest atoms and distances in Å follow each position.
Atoms (fractional coordinates):
Ag1 0.0000 0.0000 0.0000  4 Hg 3.01, 4 Te 3.13, 4 Ag 3.13
Ag2 0.7500 0.2500 0.5000  4 Te 3.01, 4 Hg 3.13, 4 Ag 3.13
Hg1 0.5000 0.5000 0.0000  8 Ag 3.01-3.13, 4 Te 3.13
Te1 0.2500 0.7500 0.5000  8 Ag 3.01-3.13, 4 Hg 3.13

[10]
Ag2HgTe: optimized geometry, PBEsol.

Results
- calculated density (g/cm3) = 10.74
- raw formation energy (eV per atom) = 0.148
- density of states at the Fermi level (states/eV per cell) = 1.766
- uncorrected energy (eV per atom) = -2.531
- calculated volume (Å³/atom) = 21.0

Lattice parameters (Å, degrees): 9.1372 9.1372 9.1372 20.78 20.78 20.78
Closest atoms and distances in Å follow each position.
Atoms (fractional coordinates):
Ag1 0.2476 0.2476 0.2476  3 Hg 2.89, 3 Te 2.98
Ag2 0.7524 0.7524 0.7524  3 Hg 2.89, 3 Te 2.98
Hg1 0.5000 0.5000 0.5000  6 Ag 2.89
Te1 0.0000 0.0000 0.0000  6 Ag 2.98, 6 Te 3.30

[11]
Ag4HgTe: optimized geometry, PBEsol.

Results
- calculated density (g/cm3) = 10.72
- raw formation energy (eV per atom) = 0.104
- density of states at the Fermi level (states/eV per cell) = 2.339
- uncorrected energy (eV per atom) = -2.785
- calculated volume (Å³/atom) = 19.6

Lattice parameters (Å, degrees): 5.5007 5.5007 5.5007 60.00 60.00 60.00
Closest atoms and distances in Å follow each position.
Atoms (fractional coordinates):
Ag1 0.1253 0.1253 0.1253  6 Ag 2.74-2.76
Ag2 0.1253 0.1253 0.6242  6 Ag 2.74-2.76
Ag3 0.1253 0.6242 0.1253  6 Ag 2.74-2.76
Ag4 0.6242 0.1253 0.1253  6 Ag 2.74-2.76
Hg1 0.5000 0.5000 0.5000  12 Ag 3.22, 4 Te 3.37
Te1 0.7500 0.7500 0.7500  12 Ag 3.23, 4 Hg 3.37

[12]
AgHg2Te: optimized geometry, PBEsol.

Results
- calculated density (g/cm3) = 10.94
- raw formation energy (eV per atom) = 0.095
- density of states at the Fermi level (states/eV per cell) = 1.878
- uncorrected energy (eV per atom) = -1.897
- calculated volume (Å³/atom) = 24.2

Lattice parameters (Å, degrees): 4.0383 4.0487 5.9130 90.00 90.00 90.00
Closest atoms and distances in Å follow each position.
Atoms (fractional coordinates):
Ag1 0.0000 0.0000 0.0000  4 Te 2.86
Hg1 0.0000 0.5000 0.5000  4 Hg 2.86
Hg2 0.5000 0.0000 0.5000  4 Hg 2.86
Te1 0.5000 0.5000 0.0000  4 Ag 2.86

[13]
AgHgTe: optimized geometry, PBEsol.

Results
- calculated density (g/cm3) = 9.00
- raw formation energy (eV per atom) = 0.185
- density of states at the Fermi level (states/eV per cell) = 2.050
- uncorrected energy (eV per atom) = -2.283
- calculated volume (Å³/atom) = 26.8

Lattice parameters (Å, degrees): 4.8459 4.8459 4.8459 60.00 60.00 60.00
Closest atoms and distances in Å follow each position.
Atoms (fractional coordinates):
Ag1 0.0000 0.0000 0.0000  4 Te 2.97
Hg1 0.5000 0.5000 0.5000  4 Te 2.97
Te1 0.7500 0.7500 0.7500  4 Hg 2.97, 4 Ag 2.97

[14]
AgHg2Te2: optimized geometry, PBEsol.

Results
- calculated density (g/cm3) = 8.98
- raw formation energy (eV per atom) = 0.440
- density of states at the Fermi level (states/eV per cell) = 1.831
- uncorrected energy (eV per atom) = -1.860
- calculated volume (Å³/atom) = 28.3

Lattice parameters (Å, degrees): 7.0449 7.0449 7.0449 140.31 140.31 57.38
Closest atoms and distances in Å follow each position.
Atoms (fractional coordinates):
Ag1 0.0000 0.0000 0.0000  8 Hg 3.63, 8 Te 3.91
Hg1 0.3943 0.3943 0.0000  1 Hg 2.61
Hg2 0.6057 0.6057 0.0000  1 Hg 2.61
Te1 0.2500 0.7500 0.5000  4 Hg 2.98
Te2 0.7500 0.2500 0.5000  4 Hg 2.98